(1)
Computed, not measured: a relaxed Pa3Te6Pt crystal at the PBE level of DFT.

Cell lengths 7.5562, 9.3618, 9.3618 Å; angles 100.78, 90.00, 90.00 degrees
Element x y z (fractional)
Pa1 0.4358 0.9462 0.7292
Pa2 0.9358 0.7292 0.9462
Pa3 0.3518 0.3877 0.6123
Pa4 0.8518 0.6123 0.3877
Pa5 0.9358 0.0538 0.2708
Pa6 0.4358 0.2708 0.0538
Te1 0.1406 0.6996 0.6331
Te2 0.6406 0.6331 0.6996
Te3 0.2167 0.4907 0.9262
Te4 0.7167 0.9262 0.4907
Te5 0.1812 0.0016 0.9984
Te6 0.6507 0.2418 0.7582
Te7 0.1507 0.7582 0.2418
Te8 0.6812 0.9984 0.0016
Te9 0.2167 0.0738 0.5093
Te10 0.7167 0.5093 0.0738
Te11 0.1406 0.3669 0.3004
Te12 0.6406 0.3004 0.3669
Pt1 0.2156 0.1927 0.8073
Pt2 0.7156 0.8073 0.1927

Output
ΔE_f (raw) = -0.732 eV/atom
total DFT energy (no corrections) = -6.07 eV per atom
SG = Cmc2_1 (36)
volume = 650.6 Å³/cell
crystal system = orthorhombic

***

(2)
Computed, not measured: a relaxed ZnP2PbO crystal at the PBE level of DFT.

Cell lengths 5.3955, 5.3955, 4.1485 Å; angles 90.00, 90.00, 90.00 degrees
Element x y z (fractional)
Pb1 0.0000 0.0000 0.0000
P1 0.0000 0.5000 0.0000
P2 0.5000 0.0000 0.0000
Zn1 0.5000 0.5000 0.5000
O1 0.0000 0.0000 0.5000

Output
ΔE_f (raw) = 0.898 eV/atom
total DFT energy (no corrections) = -3.25 eV per atom
SG = P4/mmm (123)
ΔE to the lowest computed polymorph = 0.5488 eV per atom
volume = 120.8 Å³/cell
crystal system = tetragonal

***

(3)
Computed, not measured: a relaxed BaRh5 crystal at the PBE level of DFT.

Cell lengths 8.9263, 8.9263, 4.3018 Å; angles 90.00, 90.00, 161.14 degrees
Element x y z (fractional)
Ba1 0.0084 0.9916 0.0000
Rh1 0.3171 0.6829 0.0000
Rh2 0.6821 0.3179 0.0000
Rh3 0.4021 0.5979 0.5000
Rh4 0.7761 0.2239 0.5000
Rh5 0.1475 0.8525 0.5000

Output
ΔH_f (0 K) = 0.2893 eV/atom
total DFT energy (no corrections) = -6.16 eV per atom
SG = Amm2 (38)
volume = 110.8 Å³/cell
crystal system = orthorhombic

***

(4)
Computed, not measured: a relaxed BeInAg3 crystal at the PBE level of DFT.

Cell lengths 4.5487, 4.5487, 4.5487 Å; angles 90.00, 90.00, 90.00 degrees
Element x y z (fractional)
Be1 0.0000 0.0000 0.0000
Ag1 0.0000 0.5000 0.0000
Ag2 0.0000 0.0000 0.5000
Ag3 0.5000 0.0000 0.0000
In1 0.5000 0.5000 0.5000

Output
ΔH_f (0 K) = 0.2907 eV/atom
total DFT energy (no corrections) = -2.71 eV per atom
SG = Pm-3m (221)
ΔE to the lowest computed polymorph = 0.0000 eV per atom
volume = 94.1 Å³/cell
crystal system = cubic

***

(5)
Computed, not measured: a relaxed NaCaPbCl6 crystal at the PBE level of DFT.

Cell lengths 7.0311, 7.0311, 12.5551 Å; angles 90.00, 90.00, 120.00 degrees
Element x y z (fractional)
Na1 0.0000 0.0000 0.0000
Na2 0.0000 0.0000 0.5000
Ca1 0.3333 0.6667 0.2500
Ca2 0.6667 0.3333 0.7500
Pb1 0.6667 0.3333 0.2500
Pb2 0.3333 0.6667 0.7500
Cl1 0.6511 0.6501 0.1281
Cl2 0.9990 0.3489 0.1281
Cl3 0.3489 0.9990 0.6281
Cl4 0.0010 0.6511 0.8719
Cl5 0.3499 0.3489 0.3719
Cl6 0.9990 0.6501 0.3719
Cl7 0.6501 0.9990 0.8719
Cl8 0.6511 0.0010 0.3719
Cl9 0.0010 0.3499 0.6281
Cl10 0.3499 0.0010 0.1281
Cl11 0.6501 0.6511 0.6281
Cl12 0.3489 0.3499 0.8719

Output
ΔE_f (raw) = -1.532 eV/atom
total DFT energy (no corrections) = -3.54 eV per atom
SG = P-31c (163)
volume = 537.5 Å³/cell
crystal system = trigonal

***

(6)
Computed, not measured: a relaxed Ho6Tm2Ag crystal at the PBE level of DFT.

Cell lengths 3.5262, 9.1348, 9.6586 Å; angles 118.22, 90.01, 90.00 degrees
Element x y z (fractional)
Ho1 0.9997 0.3385 0.3225
Ho2 0.0003 0.0161 0.6775
Ho3 0.0003 0.6615 0.6775
Ho4 0.5000 0.2938 0.0000
Ho5 0.9997 0.9839 0.3225
Ho6 0.5000 0.7062 0.0000
Tm1 0.4997 0.6837 0.3674
Tm2 0.5003 0.3163 0.6326
Ag1 0.0000 0.0000 0.0000

Output
ΔH_f (0 K) = 0.0930 eV/atom
total DFT energy (no corrections) = -4.27 eV per atom
SG = Cmmm (65)
volume = 274.1 Å³/cell
crystal system = orthorhombic